No. 1
First-principles (GGA-PBE) data for an optimized crystal structure of HfInSe2N, as listed in Alexandria via LeMat-Bulk.

a = 5.283 Å, b = 5.283 Å, c = 3.960 Å
α = 90.00°, β = 90.00°, γ = 90.00°
Fractional coordinates of all 5 atoms:
1 Hf 0.000 0.000 0.000
2 In 0.500 0.500 0.500
3 Se 0.000 0.500 0.500
4 Se 0.500 0.000 0.500
5 N 0.500 0.500 0.000

Results
ΔE_f (raw) (meV per atom): 710
Volume (Å³/cell): 110.5
Space-group type: P4/mmm
Offset from the most stable computed form (meV/atom): 1026.4
Electronic total energy (eV per atom): -4.89

No. 2
First-principles (GGA-PBE) data for an optimized crystal structure of HfInSe2N, as listed in Alexandria via LeMat-Bulk.

a = 5.334 Å, b = 5.334 Å, c = 4.113 Å
α = 90.00°, β = 90.00°, γ = 90.00°
Fractional coordinates of all 5 atoms:
1 Hf 0.000 0.000 0.000
2 In 0.500 0.500 0.500
3 Se 0.000 0.500 0.000
4 Se 0.500 0.000 0.000
5 N 0.000 0.000 0.500

Results
ΔE_f (raw) (meV per atom): -316
Volume (Å³/cell): 117.0
Space-group type: P4/mmm
Offset from the most stable computed form (meV/atom): 0.0
Electronic total energy (eV per atom): -5.91

No. 3
First-principles (GGA-PBE) data for an optimized crystal structure of HfInSeN2, as listed in Alexandria via LeMat-Bulk.

a = 4.130 Å, b = 4.130 Å, c = 5.594 Å
α = 90.00°, β = 90.00°, γ = 90.00°
Fractional coordinates of all 5 atoms:
1 Hf 0.000 0.000 0.000
2 In 0.500 0.500 0.500
3 Se 0.000 0.000 0.500
4 N 0.000 0.500 0.000
5 N 0.500 0.000 0.000

Results
ΔE_f (raw) (meV per atom): 48
Volume (Å³/cell): 95.4
Space-group type: P4/mmm
Offset from the most stable computed form (meV/atom): 0.0
Electronic total energy (eV per atom): -6.52

Question: What is the ΔE_f (raw) in the third record?
Answer: 48 meV per atom